VASP calculation (PBE+U) on a geometry-optimized SbPdW2O structure.

Properties
As for the calculated density: 7.356 g/cm³. Its symmetry is P4/mmm. The final energy comes out at -20.58 eV/cell. The density of states at the Fermi level comes out at 4.4 states/eV per cell.

POSCAR file:
```
SbPdW2O
1.0
5.3323 0.0000 0.0000
0.0000 4.8574 0.0000
0.0000 0.0000 5.3323
Pd O W Sb
1 1 2 1
Direct
0.0000 0.0000 0.0000
0.5000 0.5000 0.5000
0.5000 0.0000 0.0000
0.0000 0.0000 0.5000
0.0000 0.5000 0.0000
```